Material: Zr2HgBW
Method: DFT, PBE-GGA
State: relaxed

Cell lengths 5.2090, 4.9124, 5.2090 Å; angles 90.00, 90.00, 90.00 degrees
Last column: nearest neighbours and their distance in Å.
Sites, in units of the cell vectors:
Zr 0.5000 0.0000 0.0000  2 Hg 2.60
Zr 0.0000 0.0000 0.5000  2 Hg 2.60
W 0.0000 0.5000 0.0000  2 Hg 2.46
Hg 0.0000 0.0000 0.0000  2 W 2.46, 4 Zr 2.60
B 0.5000 0.5000 0.5000  8 Zr 3.58, 4 W 3.68

Output
- Symmetry: P4/mmm
- Formation energy: 2.489 eV per atom
- Density of states at the Fermi level: 1.534 states/eV/atom

=====

Material: HfMg2MnCo
Method: DFT, PBE-GGA
State: relaxed

Cell lengths 4.7245, 4.1403, 4.7245 Å; angles 90.00, 90.00, 90.00 degrees
Last column: nearest neighbours and their distance in Å.
Sites, in units of the cell vectors:
Mg 0.5000 0.0000 0.0000  2 Mn 2.36
Mg 0.0000 0.0000 0.5000  2 Mn 2.36
Hf 0.5000 0.5000 0.5000  8 Mg 3.14, 4 Co 3.34
Co 0.0000 0.5000 0.0000  2 Mn 2.07
Mn 0.0000 0.0000 0.0000  2 Co 2.07

Output
- Symmetry: P4/mmm
- Formation energy: 0.844 eV per atom
- Density of states at the Fermi level: 1.152 states/eV/atom

=====

Material: KNa4SnSb3
Method: DFT, PBE-GGA
State: relaxed

Cell lengths 8.3625, 9.2608, 17.4188 Å; angles 58.36, 90.00, 90.00 degrees
Last column: nearest neighbours and their distance in Å.
Sites, in units of the cell vectors:
Sb 0.3003 0.5152 0.5777  2 Sn 2.92-2.96, 2 Na 3.15-3.25
Sb 0.6997 0.4848 0.4223  2 Sn 2.92-2.96, 2 Na 3.15-3.25
Sb 0.2397 0.8364 0.2607  1 Sn 2.85
Sb 0.7890 0.7669 0.5847  1 Sn 2.86, 2 Na 3.15-3.18
Sb 0.7397 0.1636 0.2393  1 Sn 2.85
Sb 0.2603 0.8364 0.7607  1 Sn 2.85
Sb 0.2110 0.2331 0.4153  1 Sn 2.86, 2 Na 3.15-3.18
Sb 0.7603 0.1636 0.7393  1 Sn 2.85
Sb 0.1997 0.5152 0.0777  2 Sn 2.92-2.96, 2 Na 3.15-3.25
Sb 0.7110 0.7669 0.0847  1 Sn 2.86, 2 Na 3.15-3.18
Sb 0.2890 0.2331 0.9153  1 Sn 2.86, 2 Na 3.15-3.18
Sb 0.8003 0.4848 0.9223  2 Sn 2.92-2.96, 2 Na 3.15-3.25
Sn 0.6528 0.4784 0.5900  4 Sb 2.85-2.96
Sn 0.3472 0.5216 0.4100  4 Sb 2.85-2.96
Sn 0.8472 0.4784 0.0900  4 Sb 2.85-2.96
Sn 0.1528 0.5216 0.9100  4 Sb 2.85-2.96
Na 0.0521 0.2255 0.5952  4 Sb 3.28-3.66, 1 Na 3.52
Na 0.4957 0.4274 0.2418  4 Sb 3.20-3.54, 1 Na 3.58
Na 0.4479 0.2255 0.0952  4 Sb 3.28-3.66, 1 Na 3.52
Na 0.5043 0.5726 0.7582  4 Sb 3.20-3.54, 1 Na 3.58
Na 0.1265 0.1715 0.2587  4 Sb 3.15-3.26, 1 Na 3.52
Na 0.6614 0.1622 0.9171  4 Sb 3.18-3.30
Na 0.0043 0.4274 0.7418  4 Sb 3.20-3.54, 1 Na 3.58
Na 0.3735 0.1715 0.7587  4 Sb 3.15-3.26, 1 Na 3.52
Na 0.9957 0.5726 0.2582  4 Sb 3.20-3.54, 1 Na 3.58
Na 0.6265 0.8285 0.2413  4 Sb 3.15-3.26, 1 Na 3.52
Na 0.1614 0.8378 0.5829  4 Sb 3.18-3.30
Na 0.5521 0.7745 0.9048  4 Sb 3.28-3.66, 1 Na 3.52
Na 0.8735 0.8285 0.7413  4 Sb 3.15-3.26, 1 Na 3.52
Na 0.9479 0.7745 0.4048  4 Sb 3.28-3.66, 1 Na 3.52
Na 0.3386 0.8378 0.0829  4 Sb 3.18-3.30
Na 0.8386 0.1622 0.4171  4 Sb 3.18-3.30
K 0.0248 0.9117 0.9130  5 Sb 3.48-3.72, 4 Na 3.68-3.85, 2 Sn 3.79-3.85
K 0.4752 0.9117 0.4130  5 Sb 3.48-3.72, 4 Na 3.68-3.85, 2 Sn 3.79-3.85
K 0.5248 0.0883 0.5870  5 Sb 3.48-3.72, 4 Na 3.68-3.85, 2 Sn 3.79-3.85
K 0.9752 0.0883 0.0870  5 Sb 3.48-3.72, 4 Na 3.68-3.85, 2 Sn 3.79-3.85

Output
- Uncorrected formation energy: -386 meV per atom
- Symmetry: P2_1/c

=====

Material: K2Bi3SbPd4
Method: DFT, PBE-GGA
State: relaxed

Cell lengths 4.8947, 4.8947, 10.9435 Å; angles 90.00, 90.00, 90.00 degrees
Last column: nearest neighbours and their distance in Å.
Sites, in units of the cell vectors:
Pd 0.0000 0.5000 0.3796  3 Bi 2.78-2.83, 2 Sb 2.78
Pd 0.0000 0.0000 0.0000  4 Bi 2.78
Pd 0.5000 0.0000 0.6204  3 Bi 2.78-2.83, 2 Sb 2.78
Pd 0.5000 0.5000 0.0000  4 Bi 2.78
Bi 0.5000 0.0000 0.8787  5 Pd 2.78-2.83
Bi 0.0000 0.5000 0.1213  5 Pd 2.78-2.83
Bi 0.0000 0.0000 0.5000  4 Pd 2.78
Sb 0.5000 0.5000 0.5000  4 Pd 2.78
K 0.0000 0.5000 0.7540  8 Pd 3.64-3.76, 7 Bi 3.70-4.02, 2 Sb 3.70
K 0.5000 0.0000 0.2460  8 Pd 3.64-3.76, 2 Sb 3.70, 7 Bi 3.70-4.02

Output
- Uncorrected formation energy: -357 meV per atom
- Symmetry: P-4m2
- Density of states at the Fermi level: 0.594 states/eV/atom

=====

Material: ZrTaSe2Br
Method: DFT, PBE-GGA
State: relaxed

Cell lengths 5.0393, 5.0393, 5.0181 Å; angles 90.00, 90.00, 90.00 degrees
Last column: nearest neighbours and their distance in Å.
Sites, in units of the cell vectors:
Ta 0.0000 0.0000 0.0000  2 Br 2.51, 4 Se 2.52
Se 0.5000 0.0000 0.0000  2 Ta 2.52
Se 0.0000 0.5000 0.0000  2 Ta 2.52
Zr 0.5000 0.5000 0.5000  8 Se 3.56, 4 Br 3.56
Br 0.0000 0.0000 0.5000  2 Ta 2.51

Output
- Uncorrected formation energy: 182 meV per atom
- E above lowest polymorph: 0.0 kJ/mol of atoms
- Symmetry: P4/mmm
- Density of states at the Fermi level: 1.095 states/eV/atom

=====

Material: K2BaMn
Method: DFT, PBE-GGA
State: relaxed

Cell lengths 5.2104, 5.2104, 14.8069 Å; angles 79.87, 79.87, 90.00 degrees
Last column: nearest neighbours and their distance in Å.
Sites, in units of the cell vectors:
Ba 0.0000 0.0000 0.0000  4 Mn 3.68, 4 K 4.08
Ba 0.7500 0.2500 0.5000  4 Mn 3.68, 4 K 4.08
Mn 0.2500 0.7500 0.5000  4 Ba 3.68, 4 K 3.99
Mn 0.5000 0.5000 0.0000  4 Ba 3.68, 4 K 3.99
K 0.8750 0.8495 0.7500  4 K 3.50-3.88
K 0.3750 0.4005 0.7500  4 K 3.50-3.88
K 0.5995 0.1250 0.2500  4 K 3.50-3.88
K 0.1505 0.6250 0.2500  4 K 3.50-3.88

Output
- E above lowest polymorph: 15.5 kJ/mol of atoms
- Symmetry: I-42d
- Formation energy: 0.642 eV per atom
- Density of states at the Fermi level: 0.848 states/eV/atom

=====

Results for final energy: -4.92; -5.04; -2.91; -4.23; -5.63; -2.68 (in eV/atom, following the order of the records).
Results for mass density: 7.2; 6.1; 3.6; 7.9; 6.6; 2.3 (in g cm⁻³, following the order of the records).
Results for total magnetic moment: 0.01; 1.57; 0.00; 0.00; 2.51; 4.02 (in μB/f.u., following the order of the records).